Computed, not measured: a relaxed structure of RbI4N3 at the PBE-GGA level of DFT.

Geometry as CIF:
```
data_RbI4N3
_cell_length_a 6.102
_cell_length_b 6.102
_cell_length_c 15.437
_cell_angle_alpha 90.00
_cell_angle_beta 90.00
_cell_angle_gamma 90.00
_symmetry_space_group_name_H-M 'I 4/m m m'
_symmetry_Int_Tables_number 139
_symmetry_space_group_name_Hall '-I 4 2'
loop_
_atom_site_label
_atom_site_type_symbol
_atom_site_fract_x
_atom_site_fract_y
_atom_site_fract_z
Rb1 Rb 0.000 0.000 0.000
I1 I 0.000 0.000 0.253
I2 I 0.000 0.500 0.000
N1 N 0.000 0.000 0.500
N2 N 0.000 0.500 0.250
```

Values from the calculation:
DOS(E_F), states/eV per cell: 8.0
Total magnetic moment, μB per formula unit: 6.0
E, eV/f.u.: -17.78